# Cd3Au

An optimized crystal structure of Cd3Au (PBE, the Alexandria database).

abc: 5.779 5.779 5.779
angles: 117.18 117.18 117.18
Positions (direct):
Cd (0.000, 0.500, 0.500)
Cd (0.500, 0.000, 0.500)
Cd (0.500, 0.500, 0.000)
Au (0.000, 0.000, 0.000)

Calculated values
For the total magnetization, the calculation gives 0.00 μB/f.u. The calculated total energy comes out at -1.536 eV per atom. The formation energy comes out at -0.030 eV per atom. The value obtained for the calculated volume is 82.72 Å³/cell. The space group is R-3m (166).